[1]
Entry from Alexandria: an optimized crystal structure of Tb2HoCu (PBE).

Calculated values
Energy relative to the elements in eV/atom: 0.0382
ΔE to the lowest computed polymorph in eV/atom: 0.1406
E_tot in Ry/atom: -0.327

Lattice parameters (Å, degrees): 3.6250 3.6250 29.2357 90.00 90.00 120.00
Space group R3m (No. 160, hexagonal axes)
Unique sites:
Tb1 0.0000 0.0000 0.0000 x3
Tb2 0.0000 0.0000 0.1963 x3
Ho1 0.0000 0.0000 0.4317 x3
Cu1 0.0000 0.0000 0.5978 x3

[2]
Entry from Alexandria: an optimized crystal structure of Cr3SnBr (PBE).

Calculated values
ΔE to the lowest computed polymorph in eV/atom: 0.1895
E_tot in Ry/atom: -0.418
E_form (uncorrected) in meV/atom: 1217

Lattice parameters (Å, degrees): 4.4118 4.4118 4.4118 90.00 90.00 90.00
Space group Pm-3m (No. 221)
Unique sites:
Cr1 0.0000 0.0000 0.5000 x3
Sn1 0.5000 0.5000 0.5000 x1
Br1 0.0000 0.0000 0.0000 x1

[3]
Entry from Alexandria: an optimized crystal structure of PrScGeAu (PBE).

Calculated values
Energy relative to the elements in eV/atom: -0.6623
E_tot in Ry/atom: -0.398

Lattice parameters (Å, degrees): 7.1649 7.1649 7.1649 90.00 90.00 90.00
Space group F-43m (No. 216)
Unique sites:
Pr1 0.0000 0.0000 0.0000 x4
Sc1 0.0000 0.0000 0.5000 x4
Ge1 0.2500 0.2500 0.7500 x4
Au1 0.2500 0.2500 0.2500 x4